(1)
MnCr3Ru: optimized geometry, GGA-PBE.

Structure (extended XYZ):
```
5
Lattice="4.125 0.000 0.000 0.000 4.125 0.000 0.000 0.000 4.125" Properties=species:S:1:pos:R:3 pbc="T T T"
Mn 0.000 0.000 0.000
Cr 0.000 0.000 2.063
Cr 0.000 2.063 0.000
Cr 2.063 0.000 0.000
Ru 2.063 2.063 2.063
```

Output
E   -8.308 eV/atom
DFT formation energy   1.15 eV/atom
ΔE to the lowest computed polymorph   0 meV per atom
Total moment   0.0 μB/f.u.

(2)
MnCrRu: optimized geometry, GGA-PBE.

Structure (extended XYZ):
```
6
Lattice="2.740 0.000 0.000 0.000 4.413 0.000 0.000 0.000 6.493" Properties=species:S:1:pos:R:3 pbc="T T T"
Mn 0.685 1.103 1.432
Mn 2.055 3.310 5.062
Cr 0.685 3.310 0.387
Cr 2.055 1.103 6.106
Ru 0.685 3.310 2.820
Ru 2.055 1.103 3.674
```

Output
E   -9.007 eV/atom
DFT formation energy   0.35 eV/atom
ΔE to the lowest computed polymorph   350 meV per atom
Total moment   0.5 μB/f.u.

(3)
MnCrRu: optimized geometry, GGA-PBE.

Structure (extended XYZ):
```
3
Lattice="2.620 0.000 0.000 -1.310 2.269 0.000 0.000 0.000 6.282" Properties=species:S:1:pos:R:3 pbc="T T T"
Mn 0.000 0.000 0.000
Cr 0.000 1.512 4.267
Ru 1.310 0.756 2.142
```

Output
E   -9.160 eV/atom
DFT formation energy   0.20 eV/atom
ΔE to the lowest computed polymorph   197 meV per atom
Total moment   0.9 μB/f.u.

(4)
MnCrRu: optimized geometry, GGA-PBE.

Structure (extended XYZ):
```
6
Lattice="-2.331 2.356 3.301 2.331 -2.356 3.301 2.331 2.356 -3.301" Properties=species:S:1:pos:R:3 pbc="T T T"
Mn 0.000 0.000 0.000
Mn 0.000 2.356 0.000
Cr -1.165 1.178 1.651
Cr 1.165 1.178 1.651
Ru 2.331 1.178 -0.841
Ru 0.000 1.178 4.143
```

Output
E   -9.357 eV/atom
DFT formation energy   0.00 eV/atom
ΔE to the lowest computed polymorph   0 meV per atom
Total moment   0.0 μB/f.u.

(5)
MnCrRu: optimized geometry, GGA-PBE.

Structure (extended XYZ):
```
3
Lattice="-1.314 1.805 3.910 1.314 -1.805 3.910 1.314 1.805 -3.910" Properties=species:S:1:pos:R:3 pbc="T T T"
Mn 0.000 0.000 0.000
Cr 0.000 0.000 2.637
Ru 0.000 0.000 5.219
```

Output
E   -9.206 eV/atom
DFT formation energy   0.15 eV/atom
ΔE to the lowest computed polymorph   151 meV per atom
Total moment   0.8 μB/f.u.

(6)
MnCrRu: optimized geometry, GGA-PBE.

Structure (extended XYZ):
```
3
Lattice="-1.300 1.300 5.454 1.300 -1.300 5.454 1.300 1.300 -5.454" Properties=species:S:1:pos:R:3 pbc="T T T"
Mn 0.000 0.000 0.000
Cr 0.000 0.000 3.721
Ru 0.000 0.000 7.234
```

Output
E   -9.193 eV/atom
DFT formation energy   0.16 eV/atom
ΔE to the lowest computed polymorph   164 meV per atom
Total moment   0.0 μB/f.u.

(7)
Mn5CrRu: optimized geometry, GGA-PBE.

Structure (extended XYZ):
```
28
Lattice="7.460 0.000 0.000 0.000 4.586 0.000 0.000 0.000 9.782" Properties=species:S:1:pos:R:3 pbc="T T T"
Mn 0.350 1.147 0.740
Mn 0.620 2.332 3.045
Mn 0.620 4.547 3.045
Mn 0.671 3.440 5.053
Mn 1.389 3.440 7.206
Mn 2.341 1.147 2.315
Mn 3.059 1.147 0.162
Mn 3.110 0.039 7.936
Mn 3.110 2.254 7.936
Mn 3.380 3.440 5.631
Mn 4.080 1.147 4.150
Mn 4.350 2.332 1.846
Mn 4.350 4.547 1.846
Mn 4.401 3.440 9.619
Mn 5.119 3.440 7.467
Mn 6.071 1.147 2.576
Mn 6.790 1.147 4.729
Mn 6.840 0.039 6.736
Mn 6.840 2.254 6.736
Mn 7.110 3.440 9.041
Cr 0.897 1.147 8.323
Cr 2.833 3.440 3.432
Cr 4.627 1.147 6.349
Cr 6.563 3.440 1.459
Ru 1.842 1.147 5.631
Ru 1.888 3.440 0.741
Ru 5.572 1.147 9.041
Ru 5.618 3.440 4.150
```

Output
E   -9.065 eV/atom
DFT formation energy   0.18 eV/atom
Total moment   1.9 μB/f.u.

(8)
MnCrRu: optimized geometry, GGA-PBE.

Structure (extended XYZ):
```
6
Lattice="1.787 -5.711 0.000 1.787 5.711 0.000 0.000 0.000 3.713" Properties=species:S:1:pos:R:3 pbc="T T T"
Mn 1.787 2.855 2.785
Mn 1.787 -2.855 0.928
Cr 1.787 4.705 0.928
Cr 1.787 -4.705 2.785
Ru 1.787 0.988 0.928
Ru 1.787 -0.988 2.785
```

Output
E   -9.248 eV/atom
DFT formation energy   0.11 eV/atom
ΔE to the lowest computed polymorph   109 meV per atom
Total moment   0.6 μB/f.u.

(9)
Mn3CrRu: optimized geometry, GGA-PBE.

Structure (extended XYZ):
```
5
Lattice="4.088 0.000 0.000 0.000 4.088 0.000 0.000 0.000 4.088" Properties=species:S:1:pos:R:3 pbc="T T T"
Mn 0.000 0.000 2.044
Mn 0.000 2.044 0.000
Mn 2.044 0.000 0.000
Cr 0.000 0.000 0.000
Ru 2.044 2.044 2.044
```

Output
E   -8.005 eV/atom
DFT formation energy   1.28 eV/atom
ΔE to the lowest computed polymorph   0 meV per atom
Total moment   0.0 μB/f.u.

(10)
MnCr4Ru: optimized geometry, GGA-PBE.

Structure (extended XYZ):
```
6
Lattice="0.000 3.330 3.330 3.330 0.000 3.330 3.330 3.330 0.000" Properties=species:S:1:pos:R:3 pbc="T T T"
Mn 0.000 0.000 0.000
Cr 2.488 2.488 2.488
Cr 4.173 4.173 2.488
Cr 4.173 2.488 4.173
Cr 2.488 4.173 4.173
Ru 4.996 4.996 4.996
```

Output
E   -9.366 eV/atom
DFT formation energy   0.12 eV/atom
Total moment   2.1 μB/f.u.

(11)
MnCrRu: optimized geometry, GGA-PBE.

Structure (extended XYZ):
```
3
Lattice="0.000 2.127 5.995 1.495 0.000 5.995 1.495 2.127 0.000" Properties=species:S:1:pos:R:3 pbc="T T T"
Mn 0.000 0.000 0.000
Cr 1.495 2.127 7.835
Ru 1.495 2.127 3.882
```

Output
E   -9.131 eV/atom
DFT formation energy   0.22 eV/atom
ΔE to the lowest computed polymorph   225 meV per atom
Total moment   1.4 μB/f.u.

(12)
MnCrRu: optimized geometry, GGA-PBE.

Structure (extended XYZ):
```
3
Lattice="4.033 0.000 0.000 -2.016 3.492 0.000 0.000 0.000 2.595" Properties=species:S:1:pos:R:3 pbc="T T T"
Mn 0.000 0.000 0.000
Cr 0.000 2.328 0.000
Ru 2.016 1.164 1.298
```

Output
E   -9.273 eV/atom
DFT formation energy   0.08 eV/atom
ΔE to the lowest computed polymorph   84 meV per atom
Total moment   0.0 μB/f.u.

Repeat the ninth record exactly.
Mn3CrRu: optimized geometry, GGA-PBE.

Structure (extended XYZ):
```
5
Lattice="4.088 0.000 0.000 0.000 4.088 0.000 0.000 0.000 4.088" Properties=species:S:1:pos:R:3 pbc="T T T"
Mn 0.000 0.000 2.044
Mn 0.000 2.044 0.000
Mn 2.044 0.000 0.000
Cr 0.000 0.000 0.000
Ru 2.044 2.044 2.044
```

Output
E   -8.005 eV/atom
DFT formation energy   1.28 eV/atom
ΔE to the lowest computed polymorph   0 meV per atom
Total moment   0.0 μB/f.u.

Question: Which formula does entry 9 have?
Answer: Mn3CrRu

Question: E of number 2 (MnCrRu)?
Answer: -9.007 eV/atom

Question: Which value of total moment does entry 5 give?
Answer: 0.8 μB/f.u.